Entry 1:
This record from the Alexandria database describes a relaxed Dy5Er2 crystal. The functional is PBE.

Results
DOS at the Fermi energy ... 23.28 states/eV per cell
ρ ... 8.65 g/cm³
Relative energy among the computed polymorphs ... 0.000 eV per atom
Space-group type ... No. 15

abc: 8.3801 8.3801 9.1280
angles: 95.70 95.70 43.69
Closest atoms and distances in Å follow each position.
Sites, in units of the cell vectors:
1 Dy 0.0246 0.6906 0.0358  4 Er 3.48-3.60, 8 Dy 3.48-3.61
2 Dy 0.1192 0.4522 0.6787  9 Dy 3.49-3.61, 3 Er 3.49-3.61
3 Dy 0.1671 0.8329 0.7500  6 Dy 3.48-3.60, 6 Er 3.49-3.60
4 Dy 0.3094 0.9754 0.4642  4 Er 3.48-3.60, 8 Dy 3.48-3.61
5 Dy 0.4522 0.1192 0.1787  9 Dy 3.49-3.61, 3 Er 3.49-3.61
6 Dy 0.5478 0.8808 0.8213  9 Dy 3.49-3.61, 3 Er 3.49-3.61
7 Dy 0.6906 0.0246 0.5358  4 Er 3.48-3.60, 8 Dy 3.48-3.61
8 Dy 0.8329 0.1671 0.2500  6 Dy 3.48-3.60, 6 Er 3.49-3.60
9 Dy 0.8808 0.5478 0.3213  9 Dy 3.49-3.61, 3 Er 3.49-3.61
10 Dy 0.9754 0.3094 0.9642  4 Er 3.48-3.60, 8 Dy 3.48-3.61
11 Er 0.2625 0.5951 0.3929  10 Dy 3.48-3.61, 2 Er 3.48-3.60
12 Er 0.4049 0.7375 0.1071  10 Dy 3.48-3.61, 2 Er 3.48-3.60
13 Er 0.5951 0.2625 0.8929  10 Dy 3.48-3.61, 2 Er 3.48-3.60
14 Er 0.7375 0.4049 0.6071  10 Dy 3.48-3.61, 2 Er 3.48-3.60

Entry 2:
This record from the Alexandria database describes a relaxed HoTm4Sc5 crystal. The functional is PBE.

Results
DOS at the Fermi energy ... 19.86 states/eV per cell
ρ ... 6.13 g/cm³
Relative energy among the computed polymorphs ... 0.000 eV per atom
Space-group type ... No. 12

abc: 7.7876 7.7876 9.6563
angles: 126.77 126.77 39.69
Closest atoms and distances in Å follow each position.
Sites, in units of the cell vectors:
1 Ho 0.0000 0.0000 0.0000  6 Sc 3.12-3.44, 2 Tm 3.13
2 Tm 0.2473 0.2473 0.8661  4 Sc 3.38-3.49, 4 Tm 3.53-3.66
3 Tm 0.2533 0.2533 0.3762  3 Sc 3.00-3.11, 1 Ho 3.13
4 Tm 0.7467 0.7467 0.6238  3 Sc 3.00-3.11, 1 Ho 3.13
5 Tm 0.7527 0.7527 0.1339  4 Sc 3.38-3.49, 4 Tm 3.53-3.66
6 Sc 0.0516 0.0516 0.4004  5 Sc 3.07-3.22, 2 Tm 3.11-3.38, 1 Ho 3.44
7 Sc 0.4510 0.4510 0.7916  3 Tm 3.11-3.49, 2 Ho 3.12, 4 Sc 3.22-3.32
8 Sc 0.5000 0.5000 0.5000  2 Tm 3.00, 6 Sc 3.07-3.32
9 Sc 0.5490 0.5490 0.2084  3 Tm 3.11-3.49, 2 Ho 3.12, 4 Sc 3.22-3.32
10 Sc 0.9484 0.9484 0.5996  5 Sc 3.07-3.22, 2 Tm 3.11-3.38, 1 Ho 3.44

Entry 3:
This record from the Alexandria database describes a relaxed Nd3AgSb crystal. The functional is PBE.

Results
DOS at the Fermi energy ... 12.27 states/eV per cell
ΔE_f (raw) ... -0.496 eV/atom
ρ ... 7.17 g/cm³
Space-group type ... No. 12

abc: 8.2655 8.2655 9.0126
angles: 91.81 91.81 29.92
Closest atoms and distances in Å follow each position.
Sites, in units of the cell vectors:
1 Nd 0.0438 0.0438 0.1955  1 Ag 3.25, 4 Sb 3.37-3.40
2 Nd 0.2439 0.2439 0.8170  2 Ag 3.17, 3 Sb 3.22-3.25
3 Nd 0.4014 0.4014 0.4308  3 Ag 3.05-3.13, 1 Sb 3.27, 1 Nd 3.35
4 Nd 0.5986 0.5986 0.5692  3 Ag 3.05-3.13, 1 Sb 3.27, 1 Nd 3.35
5 Nd 0.7561 0.7561 0.1830  2 Ag 3.17, 3 Sb 3.22-3.25
6 Nd 0.9562 0.9562 0.8045  1 Ag 3.25, 4 Sb 3.37-3.40
7 Ag 0.2054 0.2054 0.4248  2 Ag 2.88, 5 Nd 3.05-3.17
8 Ag 0.7946 0.7946 0.5752  2 Ag 2.88, 5 Nd 3.05-3.17
9 Sb 0.3925 0.3925 0.0674  8 Nd 3.22-3.40
10 Sb 0.6075 0.6075 0.9326  8 Nd 3.22-3.40

Q: What is the DOS at the Fermi energy in the second record?
A: 19.86 states/eV per cell